Compound: Ti2InRh2
Source: Alexandria
Functional: GGA-PBEsol
Structure: relaxed

a b c (Å): 7.322 7.322 2.967
angles (deg): 90.00 90.00 90.00
Space group P4/mbm (No. 127)
Asymmetric unit:
1 Ti 0.162 0.338 0.000
2 In 0.000 0.000 0.500
3 Rh 0.133 0.633 0.500

- calculated total energy (eV per atom) = -7.798
- volume (Å³ per cell) = 159
- magnetic moment (Bohr magnetons per cell) = 0.0


Compound: TlInRh2
Source: Alexandria
Functional: GGA-PBEsol
Structure: relaxed

a b c (Å): 4.411 4.411 3.424
angles (deg): 90.00 90.00 90.00
Space group P4/mmm (No. 123)
Asymmetric unit:
1 Tl 0.000 0.000 0.000
2 In 0.500 0.500 0.000
3 Rh 0.000 0.500 0.500

- calculated total energy (eV per atom) = -5.630
- volume (Å³ per cell) = 67
- magnetic moment (Bohr magnetons per cell) = 0.0


Compound: TlInRh2
Source: Alexandria
Functional: GGA-PBEsol
Structure: relaxed

a b c (Å): 3.137 3.384 6.285
angles (deg): 90.00 90.00 90.00
Space group Pmmm (No. 47)
Asymmetric unit:
1 Tl 0.000 0.000 0.000
2 In 0.000 0.000 0.500
3 Rh 0.500 0.500 0.257

- calculated total energy (eV per atom) = -5.637
- volume (Å³ per cell) = 67
- magnetic moment (Bohr magnetons per cell) = 0.0


Compound: Tl2InRh
Source: Alexandria
Functional: GGA-PBEsol
Structure: relaxed

a b c (Å): 3.3512 3.3512 27.4628
angles (deg): 90.00 90.00 120.00
Space group R-3m (No. 166, hexagonal axes)
Asymmetric unit:
1 Tl 0.0000 0.0000 0.2375
2 In 0.0000 0.0000 0.0000
3 Rh 0.0000 0.0000 0.5000

- calculated total energy (eV per atom) = -3.945
- volume (Å³ per cell) = 267
- magnetic moment (Bohr magnetons per cell) = 0.0


Compound: TmInRh
Source: Alexandria
Functional: GGA-PBEsol
Structure: relaxed

a b c (Å): 7.4577 7.4577 3.7117
angles (deg): 90.00 90.00 120.00
Space group P-62m (No. 189)
Asymmetric unit:
1 Tm 0.0000 0.5968 0.0000
2 In 0.0000 0.2628 0.5000
3 Rh 0.0000 0.0000 0.0000
4 Rh 0.3333 0.6667 0.5000

- calculated total energy (eV per atom) = -6.101
- volume (Å³ per cell) = 179
- magnetic moment (Bohr magnetons per cell) = 0.0


Compound: TmIn5Rh
Source: Alexandria
Functional: GGA-PBEsol
Structure: relaxed

a b c (Å): 4.569 4.569 7.314
angles (deg): 90.00 90.00 90.00
Space group P4/mmm (No. 123)
Asymmetric unit:
1 Tm 0.000 0.000 0.000
2 In 0.000 0.500 0.298
3 In 0.500 0.500 0.000
4 Rh 0.000 0.000 0.500

- calculated total energy (eV per atom) = -4.426
- volume (Å³ per cell) = 153
- magnetic moment (Bohr magnetons per cell) = 0.0


Which formula does entry 6 have? TmIn5Rh